# 1
# LiEu2Ir, relaxed, DFT GGA-PBE
# Energy relative to the elements = -1.01 eV/f.u.
data_LiEu2Ir
_space_group_name_H-M_alt 'F m -3 m'
_space_group_IT_number 225
_space_group_name_Hall '-F 4 2 3'
_cell_length_a 7.197
_cell_length_b 7.197
_cell_length_c 7.197
_cell_angle_alpha 90.00
_cell_angle_beta 90.00
_cell_angle_gamma 90.00
loop_
_atom_site_label
_atom_site_fract_x
_atom_site_fract_y
_atom_site_fract_z
Li1 0.000 0.000 0.000
Eu1 0.250 0.250 0.250
Ir1 0.000 0.000 0.500


# 2
# Al2ZnB2, relaxed, DFT GGA-PBE
# Energy relative to the elements = 1.19 eV/f.u.
data_Al2ZnB2
_space_group_name_H-M_alt 'P 4/m b m'
_space_group_IT_number 127
_space_group_name_Hall '-P 4 2ab'
_cell_length_a 5.795
_cell_length_b 5.795
_cell_length_c 3.304
_cell_angle_alpha 90.00
_cell_angle_beta 90.00
_cell_angle_gamma 90.00
loop_
_atom_site_label
_atom_site_fract_x
_atom_site_fract_y
_atom_site_fract_z
Al1 0.185 0.315 0.000
Zn1 0.000 0.000 0.500
B1 0.102 0.602 0.500


# 3
# Tl2HgOsO8, relaxed, DFT GGA-PBE
# Formation energy (no corrections) = -0.6035 eV per atom
data_Tl2HgOsO8
_space_group_name_H-M_alt 'P 1 2/m 1'
_space_group_IT_number 10
_cell_length_a 4.896
_cell_length_b 7.089
_cell_length_c 5.019
_cell_angle_alpha 90.00
_cell_angle_beta 94.06
_cell_angle_gamma 90.00
loop_
_space_group_symop_operation_xyz
'x,y,z'
'-x,-y,-z'
'-x,y,-z'
'x,-y,z'
loop_
_atom_site_label
_atom_site_fract_x
_atom_site_fract_y
_atom_site_fract_z
Tl1 0.000 0.250 0.000
Hg1 0.500 0.000 0.500
Os1 0.500 0.500 0.500
O1 0.228 0.000 0.166
O2 0.231 0.500 0.197
O3 0.306 0.312 0.660


# 4
LiHoH4: relaxed, GGA-PBE.

Structure (CIF):
```
data_LiHoH4
_space_group_name_H-M_alt 'P 4/m m m'
_space_group_IT_number 123
_space_group_name_Hall '-P 4 2'
_cell_length_a 3.590
_cell_length_b 3.590
_cell_length_c 4.923
_cell_angle_alpha 90.00
_cell_angle_beta 90.00
_cell_angle_gamma 90.00
loop_
_atom_site_label
_atom_site_fract_x
_atom_site_fract_y
_atom_site_fract_z
Li1 0.000 0.000 0.000
Ho1 0.500 0.500 0.500
H1 0.000 0.500 0.248
```


# 5
# YMnSb2, relaxed, DFT GGA-PBE
# Formation energy (no corrections) = -0.0302 eV per atom
data_YMnSb2
_space_group_name_H-M_alt 'I -4 2 d'
_space_group_IT_number 122
_space_group_name_Hall 'I -4 2bw'
_cell_length_a 5.954
_cell_length_b 5.954
_cell_length_c 15.212
_cell_angle_alpha 90.00
_cell_angle_beta 90.00
_cell_angle_gamma 90.00
loop_
_atom_site_label
_atom_site_fract_x
_atom_site_fract_y
_atom_site_fract_z
Y1 0.000 0.000 0.000
Mn1 0.000 0.000 0.500
Sb1 0.192 0.250 0.625


# 6
# Nd6MgSn3, relaxed, DFT GGA-PBE
# Energy relative to the elements = -5.06 eV/f.u.
data_Nd6MgSn3
_space_group_name_H-M_alt 'C m c m'
_space_group_IT_number 63
_space_group_name_Hall '-C 2c 2'
_cell_length_a 11.932
_cell_length_b 11.906
_cell_length_c 8.910
_cell_angle_alpha 90.00
_cell_angle_beta 90.00
_cell_angle_gamma 90.00
loop_
_atom_site_label
_atom_site_fract_x
_atom_site_fract_y
_atom_site_fract_z
Nd1 0.000 0.166 0.006
Nd2 0.174 0.500 0.000
Nd3 0.249 0.255 0.250
Mg1 0.000 0.378 0.750
Sn1 0.000 0.372 0.250
Sn2 0.130 0.001 0.250


no.,E (eV/atom)
1,-8.08
2,-4.18
3,-5.26
4,-3.71
5,-6.00
6,-4.73